P | GGA-PBE DyTlNO, optimized geometry; magnetic moment = 0.01 μB per cell
1.0
-1.9220 -3.3289 0.0000
0.0000 0.0000 6.0550
-5.7264 3.3062 0.0000
O Dy N Tl
2 2 2 2
Direct
0.5000 0.8507 0.8778
0.5000 0.3507 0.1222
0.5000 0.4981 0.8253
0.5000 0.9981 0.1747
0.0000 0.3992 0.6677
0.0000 0.8992 0.3323
0.0000 0.5060 0.3312
0.0000 0.0060 0.6688


Q | GGA-PBE DyTlNO, optimized geometry; magnetic moment = 0.00 μB per cell
1.0
6.7227 0.0000 0.0000
0.0000 7.5972 0.0000
0.0000 0.0000 5.8899
N Tl Dy O
4 4 4 4
Direct
0.5992 0.8948 0.6175
0.4008 0.1052 0.1175
0.0992 0.1052 0.6175
0.9008 0.8948 0.1175
0.9132 0.3564 0.4999
0.5868 0.3564 0.0000
0.0868 0.6436 0.0000
0.4132 0.6436 0.4999
0.9159 0.8744 0.4977
0.5841 0.8744 0.9977
0.4159 0.1256 0.4977
0.0841 0.1256 0.9977
0.4419 0.6240 0.0873
0.5581 0.3760 0.5873
0.0581 0.6240 0.5873
0.9419 0.3760 0.0873


Best to worst by energy: P, Q.


P | GGA-PBE DyTmNO, optimized geometry; magnetic moment = 0.01 μB per cell
1.0
6.5649 0.0000 0.0000
0.0000 7.9798 0.0000
0.0000 0.0000 4.8557
N O Tm Dy
4 4 4 4
Direct
0.0726 0.3782 0.5509
0.9274 0.6218 0.0509
0.5726 0.6218 0.5509
0.4274 0.3782 0.0509
0.9081 0.1377 0.0505
0.0919 0.8623 0.5505
0.4081 0.8623 0.0505
0.5919 0.1377 0.5505
0.5848 0.6255 0.0501
0.9152 0.6255 0.5501
0.0848 0.3745 0.0501
0.4152 0.3745 0.5501
0.5689 0.1231 0.0508
0.4311 0.8769 0.5508
0.9311 0.1231 0.5508
0.0689 0.8769 0.0508


Q | GGA-PBE DyTmNO, optimized geometry; magnetic moment = 0.00 μB per cell
1.0
3.3653 -3.3659 0.0000
3.3653 3.3659 0.0000
0.0000 0.0000 4.7885
N Dy O Tm
2 2 2 2
Direct
0.7500 0.2500 0.4996
0.2500 0.7500 0.5004
0.2500 0.2500 0.5000
0.7500 0.7500 0.5000
0.7500 0.7500 0.0000
0.2500 0.2500 0.0000
0.7500 0.2500 0.0002
0.2500 0.7500 0.9998


Best to worst by energy: Q, P.


P | GGA-PBE DyTmNO, optimized geometry; magnetic moment = 0.04 μB per cell
1.0
6.5954 0.0000 0.0000
0.0000 8.0683 0.0000
0.0000 0.0000 4.8383
O Tm N Dy
4 4 4 4
Direct
0.5962 0.3728 0.5507
0.4038 0.6272 0.0507
0.9038 0.3728 0.0507
0.0962 0.6272 0.5507
0.4301 0.6212 0.5505
0.0699 0.6212 0.0505
0.5699 0.3788 0.0505
0.9301 0.3788 0.5505
0.5657 0.8716 0.5506
0.9343 0.8716 0.0506
0.0657 0.1284 0.5506
0.4343 0.1284 0.0506
0.9178 0.8717 0.5506
0.4178 0.1283 0.5506
0.0822 0.1283 0.0506
0.5822 0.8717 0.0506


Q | GGA-PBE DyTmNO, optimized geometry; magnetic moment = 0.04 μB per cell
1.0
-1.1319 3.6670 0.8416
-3.6998 -1.7316 2.5689
3.9149 -0.0741 5.5883
Dy O N Tm
2 2 2 2
Direct
0.0000 0.4387 0.3345
0.0000 0.9387 0.6655
0.5000 0.4380 0.1634
0.5000 0.9380 0.8366
0.0000 0.9388 0.3305
0.0000 0.4388 0.6695
0.5000 0.4385 0.8323
0.5000 0.9385 0.1677


Best to worst by energy: Q, P.


P | GGA-PBE DyTmNO, optimized geometry; magnetic moment = 0.03 μB per cell
1.0
3.6976 1.2839 0.4086
-1.5489 4.5396 -0.2480
-0.7824 0.1022 6.7587
O Dy N Tm
2 2 2 2
Direct
0.5000 0.9386 0.8180
0.5000 0.4386 0.1820
0.5000 0.4386 0.8353
0.5000 0.9386 0.1647
0.0000 0.9384 0.3399
0.0000 0.4384 0.6601
0.0000 0.4384 0.3320
0.0000 0.9384 0.6680


Q | GGA-PBE DyTmNO, optimized geometry; magnetic moment = 1.02 μB per cell
1.0
-3.6794 2.1760 0.3045
-1.7733 -3.2916 2.0944
2.2786 2.9371 6.5452
O Tm Dy N
2 2 2 2
Direct
0.7500 0.2500 0.0000
0.2500 0.7500 0.0000
0.2500 0.2500 0.0900
0.7500 0.7500 0.9100
0.7500 0.2500 0.5000
0.2500 0.7500 0.5000
0.2500 0.2500 0.6211
0.7500 0.7500 0.3789


R | GGA-PBE DyTmNO, optimized geometry; magnetic moment = 0.02 μB per cell
1.0
4.3484 0.0000 0.0000
0.0000 4.3484 0.0000
0.0000 0.0000 7.8326
Dy O N Tm
2 2 2 2
Direct
0.0000 0.5000 0.0950
0.5000 0.0000 0.9050
0.5000 0.5000 0.0000
0.0000 0.0000 0.0000
0.0000 0.5000 0.5758
0.5000 0.0000 0.4242
0.5000 0.5000 0.5000
0.0000 0.0000 0.5000


Best to worst by energy: P, R, Q.


P | GGA-PBE DyYNO, optimized geometry; magnetic moment = 0.00 μB per cell
1.0
3.8679 -4.4154 0.0000
3.8679 4.4154 0.0000
-0.0373 0.0000 3.4361
O N Y Dy
2 2 2 2
Direct
0.3752 0.8752 0.1854
0.8752 0.3752 0.1854
0.8751 0.8751 0.6872
0.3750 0.3750 0.1893
0.5772 0.1728 0.6888
0.1728 0.5772 0.6888
0.6694 0.6694 0.1867
0.0801 0.0801 0.1884


Q | GGA-PBE DyYNO, optimized geometry; magnetic moment = 0.01 μB per cell
1.0
-3.9186 0.6291 0.0926
-0.6120 -3.2892 -3.5503
-0.6834 -4.9491 4.7029
N Y Dy O
2 2 2 2
Direct
0.0000 0.9388 0.3371
0.0000 0.4388 0.6629
0.5000 0.9386 0.1654
0.5000 0.4386 0.8346
0.0000 0.4386 0.3318
0.0000 0.9386 0.6682
0.5000 0.4381 0.1757
0.5000 0.9381 0.8243


Best to worst by energy: Q, P.


P | GGA-PBE DyYNO, optimized geometry; magnetic moment = 0.03 μB per cell
1.0
3.7396 -0.6887 -1.1024
1.2771 -0.5290 4.6630
-1.3590 -6.7493 -0.3935
O N Dy Y
2 2 2 2
Direct
0.5000 0.9379 0.8288
0.5000 0.4379 0.1712
0.0000 0.9388 0.3345
0.0000 0.4388 0.6655
0.5000 0.9387 0.1655
0.5000 0.4387 0.8345
0.0000 0.4386 0.3339
0.0000 0.9387 0.6661


Q | GGA-PBE DyYNO, optimized geometry; magnetic moment = 0.01 μB per cell
1.0
4.8352 0.0000 0.0000
0.0000 4.8352 0.0000
0.0000 0.0000 4.8397
Dy Y O N
2 2 2 2
Direct
0.7500 0.7500 0.9990
0.2500 0.2500 0.0010
0.7500 0.2500 0.5000
0.2500 0.7500 0.5000
0.2500 0.7500 0.0000
0.7500 0.2500 0.0000
0.2500 0.2500 0.5003
0.7500 0.7500 0.4997


Best to worst by energy: Q, P.


P | GGA-PBE DyYNO, optimized geometry; magnetic moment = 0.01 μB per cell
1.0
-4.8667 -0.5730 -6.3939
4.8265 -2.9843 -3.4063
-1.5841 -4.3870 1.5989
Dy N O Y
4 4 4 4
Direct
0.8731 0.1667 0.0498
0.1269 0.3333 0.5498
0.1269 0.6667 0.0498
0.8731 0.8333 0.5498
0.1244 0.6794 0.5502
0.1244 0.3206 0.0502
0.8756 0.8206 0.0502
0.8756 0.1794 0.5502
0.6334 0.6558 0.5513
0.6334 0.3442 0.0513
0.3666 0.8442 0.0513
0.3666 0.1558 0.5513
0.6224 0.6808 0.0511
0.6224 0.3192 0.5511
0.3776 0.8192 0.5511
0.3776 0.1808 0.0511


Q | GGA-PBE DyYNO, optimized geometry; magnetic moment = 0.00 μB per cell
1.0
4.8472 0.0000 0.0000
0.0000 4.8472 0.0000
0.0000 0.0000 4.8225
Y O Dy N
2 2 2 2
Direct
0.0000 0.5000 0.0002
0.5000 0.0000 0.9998
0.5000 0.5000 0.0000
0.0000 0.0000 0.0000
0.0000 0.0000 0.5000
0.5000 0.5000 0.5000
0.5000 0.0000 0.4994
0.0000 0.5000 0.5006


Best to worst by energy: Q, P.


P | GGA-PBE DyYNO, optimized geometry; magnetic moment = 0.01 μB per cell
1.0
6.6235 0.0000 0.0000
0.0000 8.0536 0.0000
0.0000 0.0000 4.9225
O N Y Dy
4 4 4 4
Direct
0.4060 0.3690 0.0507
0.9060 0.6310 0.0507
0.5940 0.6310 0.5507
0.0940 0.3690 0.5507
0.4309 0.8739 0.0502
0.9309 0.1261 0.0502
0.0691 0.8739 0.5502
0.5691 0.1261 0.5502
0.5835 0.1268 0.0505
0.9165 0.1268 0.5505
0.4165 0.8732 0.5505
0.0835 0.8732 0.0505
0.5705 0.6220 0.0510
0.9295 0.6220 0.5510
0.0705 0.3780 0.0510
0.4295 0.3780 0.5510


Q | GGA-PBE DyYNO, optimized geometry; magnetic moment = 0.00 μB per cell
1.0
3.1489 -3.1489 0.0000
3.1489 3.1489 0.0000
0.0000 0.0000 7.6598
Dy O Y N
2 2 2 2
Direct
0.2500 0.7500 0.5000
0.7500 0.2500 0.5000
0.7500 0.2500 0.0000
0.2500 0.7500 0.0000
0.2500 0.2500 0.0828
0.7500 0.7500 0.9172
0.7500 0.7500 0.4198
0.2500 0.2500 0.5802


Best to worst by energy: P, Q.


P | GGA-PBE DyZrNO, optimized geometry; magnetic moment = 0.00 μB per cell
1.0
-0.6068 -1.4028 -3.8674
3.7482 -1.7998 0.0647
-3.3457 -6.8594 3.0129
O Zr N Dy
2 2 2 2
Direct
0.7500 0.2500 0.0000
0.2500 0.7500 0.0000
0.7500 0.2500 0.5000
0.2500 0.7500 0.5000
0.2500 0.2500 0.5751
0.7500 0.7500 0.4249
0.7500 0.7500 0.8855
0.2500 0.2500 0.1145


Q | GGA-PBE DyZrNO, optimized geometry; magnetic moment = 0.03 μB per cell
1.0
-1.7396 -4.0518 1.8212
4.2349 -3.3955 -3.5092
5.2533 0.4140 5.9391
N Dy O Zr
4 4 4 4
Direct
0.5507 0.0575 0.1336
0.5507 0.5575 0.8664
0.0507 0.9425 0.8664
0.0507 0.4425 0.1336
0.5506 0.9195 0.8654
0.0506 0.0805 0.1346
0.5506 0.4195 0.1346
0.0506 0.5805 0.8654
0.5506 0.1078 0.6342
0.0506 0.8922 0.3658
0.0506 0.3922 0.6342
0.5506 0.6078 0.3658
0.0504 0.0603 0.6102
0.0504 0.5603 0.3898
0.5504 0.9397 0.3898
0.5504 0.4397 0.6102


Best to worst by energy: Q, P.


P | GGA-PBE DyZrNO, optimized geometry; magnetic moment = 0.82 μB per cell
1.0
3.5800 0.0000 0.0000
0.0000 5.9042 0.0000
0.0000 0.0000 6.1824
N Dy Zr O
2 2 2 2
Direct
0.0000 0.4272 0.6822
0.0000 0.9272 0.3178
0.0000 0.0182 0.6737
0.0000 0.5182 0.3263
0.5000 0.9728 0.1328
0.5000 0.4728 0.8672
0.5000 0.8357 0.7922
0.5000 0.3357 0.2078


Q | GGA-PBE DyZrNO, optimized geometry; magnetic moment = 0.01 μB per cell
1.0
4.7581 0.0000 0.0000
0.0000 4.7581 0.0000
0.0000 0.0000 4.6461
N Dy Zr O
2 2 2 2
Direct
0.5000 0.0000 0.5006
0.0000 0.5000 0.4994
0.5000 0.5000 0.5000
0.0000 0.0000 0.5000
0.5000 0.0000 0.0000
0.0000 0.5000 0.0000
0.0000 0.0000 0.0000
0.5000 0.5000 0.0000


Best to worst by energy: Q, P.